# GGA-PBE Ac2AuS2O2, optimized geometry
# - DOS at the Fermi energy (states/eV/atom) = 0.689
# - uncorrected energy (eV per atom) = -6.2830
# - ΔE_f (raw) (kJ/mol of formula units) = -1381
# - magnetic moment (μB/cell) = 1.0
data_Ac2AuS2O2
_space_group_name_H-M_alt 'P -3 m 1'
_space_group_IT_number 164
_space_group_name_Hall '-P 3 2"'
_cell_length_a 4.2783
_cell_length_b 4.2783
_cell_length_c 11.3824
_cell_angle_alpha 90.00
_cell_angle_beta 90.00
_cell_angle_gamma 120.00
loop_
_atom_site_label
_atom_site_type_symbol
_atom_site_fract_x
_atom_site_fract_y
_atom_site_fract_z
Ac1 Ac 0.3333 0.6667 0.1389
Au1 Au 0.0000 0.0000 0.5000
S1 S 0.0000 0.0000 0.3020
O1 O 0.3333 0.6667 0.9206